No. 1
VASP calculation (GGA-PBE) on an optimized crystal structure of Al2Cu2Ni.

The space group is Cmmm (No. 65) and the conventional cell measures 4.057, 11.690 and 2.766 Å, with angles of 90.00, 90.00 and 90.00 degrees. Symmetry generates all atoms from Al at (0.000, 0.121, 0.000), Cu at (0.000, 0.316, 0.500) and Ni at (0.000, 0.500, 0.000).

No. 2
VASP calculation (GGA-PBE) on an optimized crystal structure of Al2CuNi4.

The space group is P-3m1 (No. 164) and the conventional cell measures 3.8964, 3.8964 and 14.5121 Å, with angles of 90.00, 90.00 and 120.00 degrees. Symmetry generates all atoms from Al at (0.0000, 0.0000, 0.2230), Al at (0.3333, 0.6667, 0.3744), Cu at (0.3333, 0.6667, 0.8776), Ni at (0.3333, 0.6667, 0.0398), Ni at (0.3333, 0.6667, 0.2048), Ni at (0.3333, 0.6667, 0.5400) and Ni at (0.3333, 0.6667, 0.7063).

no.,total magnetic moment (μB/cell),relative energy among the computed polymorphs (meV per atom),energy of formation from the pure elements (eV per atom)
1,0.00,85.5,-0.242
2,0.00,306.2,-0.082